First-principles (meta-GGA SCAN) data for KRuPt2 at its PBEsol-relaxed geometry, as listed in Alexandria.

Lattice parameters (Å, degrees): 8.9948 2.7083 6.4255 90.00 96.16 90.00
Space group Cm (No. 8)
One atom of each set of equivalent atoms:
K 0.0000 0.0000 0.0000
Ru 0.2664 0.5000 0.3584
Pt 0.0023 0.5000 0.4779
Pt 0.2368 0.0000 0.6935

Properties
Its formation energy is 0.35 eV/atom. For the density of states at the Fermi level, the calculation gives 7.21 states/eV/cell. For the final energy, the calculation gives -45.533 eV per atom.